[1]
This record from the Alexandria database describes a relaxed structure of Y2Ga5Ni2Rh. The functional is PBE-GGA.

**Raw total energy**: -5.237 eV per atom
**Energy of formation**: -539.1 meV/atom
**D(E_F)**: 6.7 states/eV/f.u.

abc: 9.1558 9.1558 4.0155
angles: 90.00 90.00 90.00
Last column: nearest neighbours and their distance in Å.
Space group P4/mbm (No. 127)
Inequivalent atoms, fractional coordinates:
Y (0.1838, 0.3162, 0.0000) [4 per cell]  3 Ni 2.66-2.78
Ga (0.0000, 0.5000, 0.5000) [2 per cell]  4 Ni 2.47
Ga (0.0572, 0.7967, 0.5000) [8 per cell]  2 Ni 2.68, 3 Ga 2.73-2.77, 2 Rh 2.79
Ni (0.1105, 0.6105, 0.0000) [4 per cell]  6 Ga 2.47-2.68, 1 Y 2.66
Rh (0.0000, 0.0000, 0.0000) [2 per cell]  8 Ga 2.79



[2]
This record from the Alexandria database describes a relaxed structure of LiTc4Au. The functional is PBE-GGA.

**Raw total energy**: -7.324 eV per atom
**Energy of formation**: 452.2 meV/atom
**D(E_F)**: 7.1 states/eV/f.u.

abc: 7.2756 7.2756 7.2756
angles: 90.00 90.00 90.00
Last column: nearest neighbours and their distance in Å.
Space group F-43m (No. 216)
Inequivalent atoms, fractional coordinates:
Li (0.0000, 0.0000, 0.0000) [4 per cell]  12 Tc 3.02, 4 Au 3.15
Tc (0.1251, 0.1251, 0.6251) [16 per cell]  6 Tc 2.57
Au (0.2500, 0.2500, 0.2500) [4 per cell]  12 Tc 3.02, 4 Li 3.15



[3]
This record from the Alexandria database describes a relaxed structure of Os2WN. The functional is PBE-GGA.

**Formation energy from raw total energies**: 0.72 eV per atom
**Raw total energy**: -10.216 eV per atom
**D(E_F)**: 3.6 states/eV/f.u.

abc: 5.1073 5.1073 10.0215
angles: 90.00 90.00 90.00
Last column: nearest neighbours and their distance in Å.
Space group I-42d (No. 122)
Inequivalent atoms, fractional coordinates:
Os (0.1651, 0.2500, 0.1250) [8 per cell]  2 N 1.98
W (0.0000, 0.0000, 0.5000) [4 per cell]  4 Os 2.47
N (0.0000, 0.0000, 0.0000) [4 per cell]  4 Os 1.98